# YCrTc2Pt, relaxed, DFT PBE
data_YCrTc2Pt
_chemical_formula_sum 'Y1 Cr1 Tc2 Pt1'
_cell_length_a 4.684
_cell_length_b 4.684
_cell_length_c 4.458
_cell_angle_alpha 90.00
_cell_angle_beta 90.00
_cell_angle_gamma 90.00
_symmetry_space_group_name_H-M 'P 4/m m m'
_symmetry_Int_Tables_number 123
_symmetry_space_group_name_Hall '-P 4 2'
loop_
_atom_site_label
_atom_site_fract_x
_atom_site_fract_y
_atom_site_fract_z
Y1 0.000 0.000 0.000
Cr1 0.000 0.000 0.500
Tc1 0.000 0.500 0.000
Pt1 0.500 0.500 0.500
# E_form ... 2384.7 meV/atom
# D(E_F) ... 2.1221 states/eV per atom
# Crystal system ... tetragonal